Here is a geometry-optimized Tb12Y5Er2 structure from Alexandria via LeMat-Bulk. Energies are from PBE-GGA.

a b c (Å): 9.1370 9.1370 8.5686
angles (deg): 91.28 91.28 60.05
Closest atoms and distances in Å follow each position.
Element x y z (fractional)
Tb1 0.0576 0.0576 0.3383  7 Tb 3.36-3.49, 2 Y 3.39-3.62, 2 Er 3.42
Tb2 0.0673 0.6789 0.3316  4 Y 3.37-3.71, 5 Tb 3.42-3.55, 1 Er 3.53
Tb3 0.1652 0.5294 0.7588  4 Tb 3.33-3.60, 1 Er 3.40, 4 Y 3.49-3.72
Tb4 0.3211 0.9327 0.6684  4 Y 3.37-3.71, 5 Tb 3.42-3.55, 1 Er 3.53
Tb5 0.4120 0.4120 0.1145  5 Tb 3.42-3.60, 2 Er 3.43, 3 Y 3.44-3.58
Tb6 0.4706 0.8348 0.2412  4 Tb 3.33-3.60, 1 Er 3.40, 4 Y 3.49-3.72
Tb7 0.5294 0.1652 0.7588  4 Tb 3.33-3.60, 1 Er 3.40, 4 Y 3.49-3.72
Tb8 0.5880 0.5880 0.8855  5 Tb 3.42-3.60, 2 Er 3.43, 3 Y 3.44-3.58
Tb9 0.6789 0.0673 0.3316  4 Y 3.37-3.71, 5 Tb 3.42-3.55, 1 Er 3.53
Tb10 0.8348 0.4706 0.2412  4 Tb 3.33-3.60, 1 Er 3.40, 4 Y 3.49-3.72
Tb11 0.9327 0.3211 0.6684  4 Y 3.37-3.71, 5 Tb 3.42-3.55, 1 Er 3.53
Tb12 0.9424 0.9424 0.6617  7 Tb 3.36-3.49, 2 Y 3.39-3.62, 2 Er 3.42
Y1 0.2001 0.2001 0.0147  8 Tb 3.44-3.64, 2 Er 3.55, 1 Y 3.68
Y2 0.2674 0.2674 0.4289  10 Tb 3.37-3.77, 2 Y 3.68-3.72
Y3 0.5000 0.5000 0.5000  10 Tb 3.55-3.72, 2 Y 3.72
Y4 0.7326 0.7326 0.5711  10 Tb 3.37-3.77, 2 Y 3.68-3.72
Y5 0.7999 0.7999 0.9853  8 Tb 3.44-3.64, 2 Er 3.55, 1 Y 3.68
Er1 0.1756 0.8244 0.0000  1 Er 3.21, 8 Tb 3.40-3.53, 2 Y 3.55
Er2 0.8244 0.1756 0.0000  1 Er 3.21, 8 Tb 3.40-3.53, 2 Y 3.55

Calculated values
For the energy above the most stable polymorph in this dataset, the calculation gives 11 meV per atom. The value obtained for the density of states at the Fermi level is 29.7 states/eV/cell. The value obtained for the formation energy is 121 meV per atom.